The following is a DFT calculation (PBE+U) of a relaxed MgMn2AlO4 crystal.

Cell: 4.661 4.661 9.580 Å, 90.00 90.00 90.00°
Space group I-42m (No. 121)
Inequivalent atoms, fractional coordinates:
Mg  0.000  0.000  0.000 (multiplicity 2)
Mn  0.000  0.500  0.250 (multiplicity 4)
Al  0.000  0.000  0.500 (multiplicity 2)
O  0.229  0.229  0.394 (multiplicity 8)

Properties
Total DFT energy (no corrections) ... -7.0460 eV/atom
D(E_F) ... 1.4 states/eV/f.u.
Magnetic moment ... 20.17 Bohr magnetons per cell
Crystal system ... tetragonal